--- a ---
This record from Alexandria via LeMat-Bulk describes Tb7Dy12Sc after structural relaxation. The functional is PBE.

Results
Space-group type   R-3 (148)
Mass density   8094 kg/m3

a = 8.638 Å, b = 8.638 Å, c = 8.638 Å
α = 94.76°, β = 94.76°, γ = 94.76°
Element x y z (fractional)
1 Dy 0.322 0.190 0.751
2 Dy 0.475 0.144 0.409
3 Dy 0.591 0.525 0.856
4 Dy 0.810 0.249 0.678
5 Dy 0.856 0.591 0.525
6 Dy 0.751 0.322 0.190
7 Dy 0.525 0.856 0.591
8 Dy 0.249 0.678 0.810
9 Dy 0.144 0.409 0.475
10 Dy 0.190 0.751 0.322
11 Dy 0.409 0.475 0.144
12 Dy 0.678 0.810 0.249
13 Tb 0.656 0.989 0.923
14 Tb 0.344 0.011 0.077
15 Tb 0.500 0.500 0.500
16 Tb 0.923 0.656 0.989
17 Tb 0.011 0.077 0.344
18 Tb 0.077 0.344 0.011
19 Tb 0.989 0.923 0.656
20 Sc 0.000 0.000 0.000

***

--- b ---
This record from Alexandria via LeMat-Bulk describes Tb7Dy12Sc after structural relaxation. The functional is PBE.

Results
Space-group type   R-3 (148)
Mass density   7842 kg/m3

a = 6.628 Å, b = 10.932 Å, c = 10.932 Å
α = 63.98°, β = 78.34°, γ = 101.66°
Element x y z (fractional)
1 Dy 0.746 0.545 0.521
2 Dy 0.201 0.934 0.545
3 Dy 0.254 0.455 0.479
4 Dy 0.702 0.789 0.788
5 Dy 0.914 0.423 0.789
6 Dy 0.510 0.212 0.577
7 Dy 0.086 0.577 0.211
8 Dy 0.267 0.521 0.934
9 Dy 0.733 0.479 0.066
10 Dy 0.298 0.211 0.212
11 Dy 0.799 0.066 0.455
12 Dy 0.490 0.788 0.423
13 Tb 0.059 0.865 0.299
14 Tb 0.194 0.836 0.865
15 Tb 0.642 0.701 0.164
16 Tb 0.941 0.135 0.701
17 Tb 0.806 0.164 0.135
18 Tb 0.500 0.000 0.000
19 Tb 0.358 0.299 0.836
20 Sc 0.000 0.000 0.000

***

Which of them is the least stable? Correct choice: b.

***

--- a ---
This record from Alexandria via LeMat-Bulk describes Tb12DySc6 after structural relaxation. The functional is PBE.

Results
Space-group type   R-3m (166)
Mass density   6377 kg/m3

a = 9.067 Å, b = 9.067 Å, c = 9.067 Å
α = 107.67°, β = 107.67°, γ = 107.67°
Element x y z (fractional)
1 Sc 0.273 0.688 0.688
2 Sc 0.312 0.312 0.727
3 Sc 0.727 0.312 0.312
4 Sc 0.688 0.273 0.688
5 Sc 0.688 0.688 0.273
6 Sc 0.312 0.727 0.312
7 Tb 0.850 0.627 0.627
8 Tb 0.112 0.500 0.888
9 Tb 0.150 0.373 0.373
10 Tb 0.627 0.850 0.627
11 Tb 0.373 0.150 0.373
12 Tb 0.500 0.888 0.112
13 Tb 0.888 0.112 0.500
14 Tb 0.373 0.373 0.150
15 Tb 0.888 0.500 0.112
16 Tb 0.627 0.627 0.850
17 Tb 0.112 0.888 0.500
18 Tb 0.500 0.112 0.888
19 Dy 0.000 0.000 0.000

***

--- b ---
This record from Alexandria via LeMat-Bulk describes Tb12DySc6 after structural relaxation. The functional is PBE.

Results
Space-group type   Im-3 (204)
Mass density   6789 kg/m3

a = 9.058 Å, b = 9.058 Å, c = 9.058 Å
α = 109.47°, β = 109.47°, γ = 109.47°
Element x y z (fractional)
1 Tb 0.464 0.197 0.267
2 Tb 0.733 0.536 0.803
3 Tb 0.197 0.267 0.464
4 Tb 0.803 0.733 0.536
5 Tb 0.267 0.070 0.803
6 Tb 0.930 0.197 0.733
7 Tb 0.733 0.930 0.197
8 Tb 0.803 0.267 0.070
9 Tb 0.267 0.464 0.197
10 Tb 0.070 0.803 0.267
11 Tb 0.536 0.803 0.733
12 Tb 0.197 0.733 0.930
13 Sc 0.500 0.138 0.638
14 Sc 0.362 0.500 0.862
15 Sc 0.862 0.362 0.500
16 Sc 0.138 0.638 0.500
17 Sc 0.638 0.500 0.138
18 Sc 0.500 0.862 0.362
19 Dy 0.000 0.000 0.000

***

Which of them is the least stable? Correct choice: a.

***

--- a ---
This record from Alexandria via LeMat-Bulk describes Tb6Dy8Sc after structural relaxation. The functional is PBE.

Results
Space-group type   P-3 (147)
Mass density   7990 kg/m3

a = 5.740 Å, b = 9.803 Å, c = 9.803 Å
α = 120.00°, β = 90.00°, γ = 90.00°
Element x y z (fractional)
1 Tb 0.742 0.470 0.378
2 Tb 0.742 0.908 0.530
3 Tb 0.258 0.092 0.470
4 Tb 0.258 0.530 0.622
5 Tb 0.742 0.622 0.092
6 Tb 0.258 0.378 0.908
7 Dy 0.766 0.333 0.667
8 Dy 0.233 0.270 0.219
9 Dy 0.234 0.667 0.333
10 Dy 0.767 0.052 0.270
11 Dy 0.767 0.730 0.781
12 Dy 0.233 0.781 0.052
13 Dy 0.233 0.948 0.730
14 Dy 0.767 0.219 0.948
15 Sc 0.500 0.000 0.000

***

--- b ---
This record from Alexandria via LeMat-Bulk describes Tb6Dy8Sc after structural relaxation. The functional is PBE.

Results
Space-group type   R-3 (148)
Mass density   7996 kg/m3

a = 8.998 Å, b = 8.998 Å, c = 8.563 Å
α = 58.31°, β = 58.31°, γ = 60.00°
Element x y z (fractional)
1 Tb 0.892 0.774 0.877
2 Tb 0.543 0.108 0.123
3 Tb 0.457 0.892 0.877
4 Tb 0.774 0.457 0.877
5 Tb 0.226 0.543 0.123
6 Tb 0.108 0.226 0.123
7 Dy 0.110 0.747 0.421
8 Dy 0.423 0.423 0.731
9 Dy 0.890 0.253 0.579
10 Dy 0.577 0.577 0.269
11 Dy 0.747 0.722 0.421
12 Dy 0.253 0.278 0.579
13 Dy 0.722 0.110 0.421
14 Dy 0.278 0.890 0.579
15 Sc 0.000 0.000 0.000

***

Which of them is the least stable? Correct choice: a.

***

--- a ---
This record from Alexandria via LeMat-Bulk describes Tb3Dy4Sc after structural relaxation. The functional is PBE.

Results
Space-group type   Pmn2_1 (31)
Mass density   7810 kg/m3

a = 6.212 Å, b = 7.192 Å, c = 11.152 Å
α = 90.00°, β = 90.00°, γ = 90.00°
Element x y z (fractional)
1 Dy 0.645 0.126 0.000
2 Dy 0.484 0.873 0.254
3 Dy 0.145 0.874 0.500
4 Dy 0.152 0.874 0.000
5 Dy 0.652 0.126 0.500
6 Dy 0.984 0.127 0.246
7 Dy 0.984 0.127 0.754
8 Dy 0.484 0.873 0.746
9 Tb 0.147 0.376 0.500
10 Tb 0.647 0.624 0.000
11 Tb 0.978 0.623 0.750
12 Tb 0.478 0.377 0.750
13 Tb 0.478 0.377 0.250
14 Tb 0.978 0.623 0.250
15 Sc 0.147 0.376 0.000
16 Sc 0.647 0.624 0.500

***

--- b ---
This record from Alexandria via LeMat-Bulk describes Tb3Dy4Sc after structural relaxation. The functional is PBE.

Results
Space-group type   I4/mcm (140)
Mass density   7977 kg/m3

a = 8.707 Å, b = 8.707 Å, c = 8.906 Å
α = 119.26°, β = 119.26°, γ = 90.00°
Element x y z (fractional)
1 Tb 0.647 0.853 0.000
2 Tb 0.147 0.647 0.000
3 Tb 0.750 0.750 0.500
4 Tb 0.250 0.250 0.500
5 Tb 0.353 0.147 0.000
6 Tb 0.853 0.353 0.000
7 Dy 0.187 0.687 0.676
8 Dy 0.687 0.489 0.676
9 Dy 0.813 0.313 0.324
10 Dy 0.989 0.187 0.676
11 Dy 0.313 0.511 0.324
12 Dy 0.489 0.989 0.676
13 Dy 0.011 0.813 0.324
14 Dy 0.511 0.011 0.324
15 Sc 0.000 0.000 0.000
16 Sc 0.500 0.500 0.000

***

Which of them is the least stable? Correct choice: b.

***

--- a ---
This record from Alexandria via LeMat-Bulk describes Tb3Dy2Sc after structural relaxation. The functional is PBE.

Results
Space-group type   C2/m (12)
Mass density   7526 kg/m3

a = 3.432 Å, b = 8.912 Å, c = 12.783 Å
α = 78.14°, β = 82.29°, γ = 78.90°
Element x y z (fractional)
1 Sc 0.563 0.515 0.359
2 Sc 0.437 0.485 0.641
3 Tb 0.599 0.828 0.973
4 Tb 0.963 0.854 0.219
5 Tb 0.037 0.146 0.781
6 Tb 0.257 0.192 0.294
7 Tb 0.401 0.172 0.027
8 Tb 0.743 0.808 0.706
9 Dy 0.180 0.520 0.120
10 Dy 0.820 0.480 0.880
11 Dy 0.344 0.841 0.470
12 Dy 0.656 0.159 0.530

***

--- b ---
This record from Alexandria via LeMat-Bulk describes Tb3Dy2Sc after structural relaxation. The functional is PBE.

Results
Space-group type   Cmmm (65)
Mass density   7699 kg/m3

a = 4.961 Å, b = 9.910 Å, c = 9.269 Å
α = 122.32°, β = 105.52°, γ = 90.00°
Element x y z (fractional)
1 Tb 0.500 0.250 0.000
2 Tb 0.500 0.750 0.000
3 Tb 0.165 0.415 0.330
4 Tb 0.835 0.085 0.670
5 Tb 0.165 0.915 0.330
6 Tb 0.835 0.585 0.670
7 Dy 0.336 0.836 0.672
8 Dy 0.336 0.336 0.672
9 Dy 0.664 0.164 0.328
10 Dy 0.664 0.664 0.328
11 Sc 0.000 0.500 0.000
12 Sc 0.000 0.000 0.000

***

Which of them is the least stable? Correct choice: a.

***

--- a ---
This record from Alexandria via LeMat-Bulk describes Tb6Dy3Sc after structural relaxation. The functional is PBE.

Results
Space-group type   Cmc2_1 (36)
Mass density   7803 kg/m3

a = 6.157 Å, b = 10.897 Å, c = 10.897 Å
α = 120.12°, β = 90.00°, γ = 90.00°
Element x y z (fractional)
1 Tb 0.042 0.381 0.289
2 Tb 0.423 0.953 0.047
3 Tb 0.923 0.047 0.953
4 Tb 0.646 0.277 0.723
5 Tb 0.542 0.619 0.711
6 Tb 0.146 0.723 0.277
7 Tb 0.042 0.711 0.619
8 Tb 0.358 0.049 0.470
9 Tb 0.358 0.530 0.951
10 Tb 0.858 0.470 0.049
11 Tb 0.542 0.289 0.381
12 Tb 0.858 0.951 0.530
13 Dy 0.459 0.946 0.724
14 Dy 0.570 0.612 0.388
15 Dy 0.070 0.388 0.612
16 Dy 0.959 0.724 0.946
17 Dy 0.959 0.054 0.276
18 Dy 0.459 0.276 0.054
19 Sc 0.629 0.796 0.204
20 Sc 0.129 0.204 0.796

***

--- b ---
This record from Alexandria via LeMat-Bulk describes Tb6Dy3Sc after structural relaxation. The functional is PBE.

Results
Space-group type   R3 (146)
Mass density   7731 kg/m3

a = 9.736 Å, b = 9.736 Å, c = 6.835 Å
α = 44.58°, β = 44.58°, γ = 60.00°
Element x y z (fractional)
1 Dy 0.358 0.358 0.927
2 Dy 0.099 0.099 0.702
3 Dy 0.607 0.607 0.180
4 Tb 0.764 0.088 0.710
5 Tb 0.601 0.257 0.209
6 Tb 0.439 0.764 0.710
7 Tb 0.088 0.439 0.710
8 Tb 0.257 0.933 0.209
9 Tb 0.933 0.601 0.209
10 Sc 0.855 0.855 0.434

***

Which of them is the least stable? Correct choice: b.

***

--- a ---
This record from Alexandria via LeMat-Bulk describes Tb2Dy6Sc after structural relaxation. The functional is PBE.

Results
Space-group type   C2/m (12)
Mass density   8033 kg/m3

a = 3.516 Å, b = 7.868 Å, c = 11.109 Å
α = 106.45°, β = 108.45°, γ = 77.05°
Element x y z (fractional)
1 Dy 0.611 0.166 0.944
2 Dy 0.054 0.829 0.718
3 Dy 0.389 0.834 0.056
4 Dy 0.946 0.171 0.282
5 Dy 0.273 0.171 0.609
6 Dy 0.727 0.829 0.391
7 Sc 0.500 0.500 0.500
8 Tb 0.830 0.501 0.831
9 Tb 0.170 0.499 0.169

***

--- b ---
This record from Alexandria via LeMat-Bulk describes Tb2Dy6Sc after structural relaxation. The functional is PBE.

Results
Space-group type   C2/c (15)
Mass density   8025 kg/m3

a = 6.061 Å, b = 9.855 Å, c = 9.855 Å
α = 71.09°, β = 85.02°, γ = 85.02°
Element x y z (fractional)
1 Dy 0.825 0.025 0.752
2 Dy 0.011 0.595 0.310
3 Dy 0.175 0.975 0.248
4 Dy 0.854 0.652 0.935
5 Dy 0.989 0.405 0.690
6 Dy 0.675 0.248 0.975
7 Dy 0.511 0.310 0.595
8 Dy 0.489 0.690 0.405
9 Dy 0.646 0.065 0.348
10 Dy 0.146 0.348 0.065
11 Dy 0.354 0.935 0.652
12 Dy 0.325 0.752 0.025
13 Sc 0.250 0.102 0.898
14 Sc 0.750 0.898 0.102
15 Tb 0.070 0.231 0.429
16 Tb 0.930 0.769 0.571
17 Tb 0.430 0.571 0.769
18 Tb 0.570 0.429 0.231

***

Which of them is the least stable? Correct choice: b.

***

--- a ---
This record from Alexandria via LeMat-Bulk describes TbDy12Sc7 after structural relaxation. The functional is PBE.

Results
Space-group type   Im-3 (204)
Mass density   6127 kg/m3

a = 9.485 Å, b = 9.485 Å, c = 9.485 Å
α = 109.47°, β = 109.47°, γ = 109.47°
Element x y z (fractional)
1 Dy 0.260 0.522 0.262
2 Dy 0.001 0.262 0.740
3 Dy 0.738 0.260 0.999
4 Dy 0.262 0.740 0.001
5 Dy 0.740 0.001 0.262
6 Dy 0.999 0.738 0.260
7 Dy 0.260 0.999 0.738
8 Dy 0.478 0.738 0.740
9 Dy 0.740 0.478 0.738
10 Dy 0.738 0.740 0.478
11 Dy 0.262 0.260 0.522
12 Dy 0.522 0.262 0.260
13 Sc 0.000 0.500 0.500
14 Sc 0.500 0.000 0.500
15 Sc 0.000 0.000 0.500
16 Sc 0.500 0.500 0.000
17 Sc 0.500 0.500 0.500
18 Sc 0.000 0.500 0.000
19 Sc 0.500 0.000 0.000
20 Tb 0.000 0.000 0.000

***

--- b ---
This record from Alexandria via LeMat-Bulk describes TbDy12Sc7 after structural relaxation. The functional is PBE.

Results
Space-group type   R-3 (148)
Mass density   6817 kg/m3

a = 9.032 Å, b = 9.032 Å, c = 9.032 Å
α = 108.31°, β = 108.31°, γ = 108.31°
Site moments in Bohr magnetons follow the coordinates.
Element x y z (fractional)
1 Dy 0.325 0.619 0.800  0.11
2 Dy 0.066 0.298 0.407  0.14
3 Dy 0.298 0.407 0.066  0.14
4 Dy 0.407 0.066 0.298  0.14
5 Dy 0.619 0.800 0.325  0.11
6 Dy 0.381 0.200 0.675  0.11
7 Dy 0.200 0.675 0.381  0.11
8 Dy 0.593 0.934 0.702  0.14
9 Dy 0.675 0.381 0.200  0.11
10 Dy 0.800 0.325 0.619  0.11
11 Dy 0.702 0.593 0.934  0.14
12 Dy 0.934 0.702 0.593  0.14
13 Sc 0.896 0.315 0.996  0.21
14 Sc 0.500 0.500 0.500  0.09
15 Sc 0.685 0.004 0.104  0.21
16 Sc 0.315 0.996 0.896  0.21
17 Sc 0.104 0.685 0.004  0.21
18 Sc 0.004 0.104 0.685  0.21
19 Sc 0.996 0.896 0.315  0.21
20 Tb 0.000 0.000 0.000  0.07

***

Which of them is the least stable? Correct choice: a.

***

--- a ---
This record from Alexandria via LeMat-Bulk describes Tb2Dy3Sc2 after structural relaxation. The functional is PBE.

Results
Space-group type   Cmmm (65)
Mass density   7156 kg/m3

a = 5.189 Å, b = 3.438 Å, c = 11.930 Å
α = 90.00°, β = 77.44°, γ = 90.00°
Element x y z (fractional)
1 Dy 0.843 0.000 0.313
2 Dy 0.157 0.000 0.687
3 Dy 0.000 0.000 0.000
4 Sc 0.716 0.500 0.568
5 Sc 0.284 0.500 0.432
6 Tb 0.425 0.500 0.150
7 Tb 0.575 0.500 0.850

***

--- b ---
This record from Alexandria via LeMat-Bulk describes Tb2Dy3Sc2 after structural relaxation. The functional is PBE.

Results
Space-group type   C2/m (12)
Mass density   7080 kg/m3

a = 3.407 Å, b = 8.362 Å, c = 8.604 Å
α = 118.45°, β = 101.42°, γ = 90.00°
Element x y z (fractional)
1 Tb 0.859 0.687 0.717
2 Tb 0.141 0.313 0.283
3 Dy 0.212 0.805 0.424
4 Dy 0.788 0.195 0.576
5 Dy 0.000 0.500 0.000
6 Sc 0.436 0.091 0.871
7 Sc 0.564 0.909 0.129

***

Which of them is the least stable? Correct choice: b.